# 1
CsNa3Fe4I12 | Alexandria via LeMat-Bulk | GGA-PBE | relaxed; formation energy without anion corrections = -503 meV per atom; crystal system = trigonal; space group = R32
1.0
10.298 -0.021 -0.029
-2.501 9.990 -0.029
-2.501 -3.198 9.464
Fe Na I Cs
4 3 12 1
Direct
0.062 0.500 0.938
0.500 0.938 0.062
0.938 0.062 0.500
0.500 0.500 0.500
0.444 0.000 0.556
0.556 0.444 0.000
0.000 0.556 0.444
0.652 0.778 0.048
0.952 0.222 0.348
0.222 0.348 0.952
0.656 0.500 0.344
0.500 0.095 0.905
0.048 0.652 0.778
0.905 0.500 0.095
0.348 0.952 0.222
0.344 0.656 0.500
0.095 0.905 0.500
0.500 0.344 0.656
0.778 0.048 0.652
0.000 0.000 0.000

=====

# 2
PrMnPd4 | Alexandria via LeMat-Bulk | GGA-PBE | relaxed; crystal system = cubic; energy of formation from the pure elements = -0.4296 eV/atom; space group = F-43m
1.0
5.392 0.000 0.000
2.696 4.670 0.000
2.696 1.557 4.403
Pr Pd Mn
1 4 1
Direct
0.250 0.250 0.250
0.626 0.626 0.123
0.626 0.626 0.626
0.626 0.123 0.626
0.123 0.626 0.626
0.000 0.000 0.000

=====

Number 1: DFT total energy -0.2474 Ry per atom. Number 2: DFT total energy -0.4569 Ry per atom.